w) A PBEsol-optimized structure of SrReIr2. Source: the Alexandria database, functional meta-GGA SCAN.

POSCAR file:
```
SrReIr2
1.0
2.742 0.000 0.000
0.000 5.050 0.016
0.000 -1.920 4.804
Re Ir Sr
1 2 1
direct
0.500 0.500 0.000 Re
0.500 0.000 0.500 Ir
0.000 0.000 0.000 Ir
0.000 0.500 0.500 Sr
```

ρ   16.414 g cm⁻³
Space group   P2/m, No. 10
DOS(E_F)   4.17 states/eV per cell

---

x) A PBEsol-optimized structure of SrReIr2. Source: the Alexandria database, functional meta-GGA SCAN.

POSCAR file:
```
SrReIr2
1.0
2.821 0.000 0.000
0.000 4.901 0.000
0.000 0.000 4.901
Ir Sr Re
2 1 1
direct
0.000 0.000 0.500 Ir
0.000 0.500 0.000 Ir
0.500 0.000 0.000 Sr
0.500 0.500 0.500 Re
```

ρ   16.130 g cm⁻³
Space group   P4/mmm, No. 123
DOS(E_F)   4.39 states/eV per cell

---

Bottom line: x), by a margin of 204 meV/atom.